Compound: PmZnBi
Source: Alexandria
Functional: GGA-PBE
Structure: optimized geometry

**ΔE_f**: -0.46 eV/atom
**Crystal system**: triclinic

The structure in CIF format:
```
data_PmZnBi
_cell_length_a 3.715
_cell_length_b 4.698
_cell_length_c 9.577
_cell_angle_alpha 90.09
_cell_angle_beta 101.12
_cell_angle_gamma 90.02
_symmetry_space_group_name_H-M 'P -1'
_symmetry_Int_Tables_number 2
loop_
_symmetry_equiv_pos_as_xyz
'x,y,z'
'-x,-y,-z'
loop_
_atom_site_label
_atom_site_type_symbol
_atom_site_fract_x
_atom_site_fract_y
_atom_site_fract_z
Pm1 Pm 0.106 0.251 0.213
Zn1 Zn 0.470 0.250 0.940
Bi1 Bi 0.318 0.249 0.635
```